Below is a relaxed ZnTcMo2 crystal, with properties calculated at the PBE level.

```
ZnTcMo2
1.0
1.578 -2.186 0.000
1.578 2.186 0.000
0.000 0.000 8.862
Zn Tc Mo
1 1 2
direct
0.000 0.000 0.000 Zn
0.500 0.500 0.752 Tc
0.000 0.000 0.506 Mo
0.500 0.500 0.253 Mo
```

Summary:
Mass density = 9648 kg/m3
N(E_F) = 0.87 states/eV/atom
Energy relative to the elements = 0.1029 eV per atom

---

Below is a relaxed ZnTcMo crystal, with properties calculated at the PBE level.

```
ZnTcMo
1.0
2.814 0.000 0.000
-1.407 2.437 0.000
0.000 0.000 6.633
Zn Tc Mo
1 1 1
direct
0.000 0.000 0.000 Zn
0.333 0.667 0.665 Tc
0.667 0.333 0.349 Mo
```

Summary:
Mass density = 9467 kg/m3
N(E_F) = 0.87 states/eV/atom
Energy relative to the elements = 0.1435 eV per atom

---

Below is a relaxed ZnTcMo2 crystal, with properties calculated at the PBE level.

```
ZnTcMo2
1.0
2.786 0.000 0.000
0.000 4.049 0.000
0.000 0.000 5.360
Zn Tc Mo
1 1 2
direct
0.000 0.000 0.000 Zn
0.000 0.000 0.500 Tc
0.500 0.500 0.259 Mo
0.500 0.500 0.741 Mo
```

Summary:
Mass density = 9759 kg/m3
N(E_F) = 0.48 states/eV/atom
Energy relative to the elements = 0.1222 eV per atom

---

Copy entry 2 word for word.
Below is a relaxed ZnTcMo crystal, with properties calculated at the PBE level.

```
ZnTcMo
1.0
2.814 0.000 0.000
-1.407 2.437 0.000
0.000 0.000 6.633
Zn Tc Mo
1 1 1
direct
0.000 0.000 0.000 Zn
0.333 0.667 0.665 Tc
0.667 0.333 0.349 Mo
```

Summary:
Mass density = 9467 kg/m3
N(E_F) = 0.87 states/eV/atom
Energy relative to the elements = 0.1435 eV per atom

---

- Number 1 is which compound?
  ZnTcMo2

---

- Which of these has the lowest energy relative to the elements?
  number 1